# Ag2IrRuPb

A relaxed structure of Ag2IrRuPb (PBE-GGA, Alexandria).

Lattice parameters (Å, degrees): 5.058 5.058 5.024 90.00 90.00 90.00
Space group P4/mmm (No. 123)
Asymmetric unit:
Ag 0.000 0.500 0.000 [2 per cell]
Ir 0.000 0.000 0.500 [1 per cell]
Ru 0.500 0.500 0.500 [1 per cell]
Pb 0.500 0.500 0.000 [1 per cell]

* density: 9.3 g/cm3
* total energy: -3.4827 eV per atom
* total magnetization: 2.6 μB per formula unit
* D(E_F): 10.040 states/eV per cell